Entry 1
BeTlAs2: relaxed, PBE.

a b c (Å): 3.358 3.358 7.541
angles (deg): 90.00 90.00 90.00
Positions (direct):
As 0.500 0.500 0.347
As 0.000 0.000 0.050
Tl 0.500 0.500 0.759
Be 0.000 0.000 0.344

Values from the calculation:
crystal system	tetragonal
size of the total moment	0.00	μB/f.u.

Entry 2
BeTlAs2: relaxed, PBE.

a b c (Å): 3.630 4.510 5.696
angles (deg): 71.32 90.00 90.00
Positions (direct):
As 0.000 0.468 0.385
As 0.000 0.032 0.115
Be 0.500 0.250 0.250
Tl 0.500 0.750 0.750

Values from the calculation:
crystal system	monoclinic
size of the total moment	0.00	μB/f.u.

Which structure is most stable? entry 2, by 0.195 eV/atom over the runner-up.

Entry 1
Ca2LaRh: relaxed, PBE.

a b c (Å): 9.943 9.943 7.561
angles (deg): 48.89 48.89 90.00
Positions (direct):
Ca 0.507 0.125 0.250
Rh 0.500 0.500 0.000
La 0.750 0.250 0.500
Ca 0.375 0.493 0.750
La 0.000 0.000 0.000
Rh 0.250 0.750 0.500
Ca 0.243 0.625 0.250
Ca 0.875 0.757 0.750

Values from the calculation:
crystal system	tetragonal
size of the total moment	0.00	μB/f.u.

Entry 2
Ca2LaRh: relaxed, PBE.

a b c (Å): 6.644 7.529 9.946
angles (deg): 90.00 90.00 90.00
Positions (direct):
Rh 0.487 0.870 0.250
La 0.151 0.948 0.750
Ca 0.833 0.328 0.569
Ca 0.833 0.328 0.931
La 0.349 0.448 0.750
Ca 0.167 0.672 0.069
La 0.849 0.052 0.250
Rh 0.987 0.630 0.750
Ca 0.167 0.672 0.431
Rh 0.513 0.130 0.750
Ca 0.333 0.172 0.069
Ca 0.667 0.828 0.569
Rh 0.013 0.370 0.250
Ca 0.667 0.828 0.931
Ca 0.333 0.172 0.431
La 0.651 0.552 0.250

Values from the calculation:
crystal system	orthorhombic
size of the total moment	0.00	μB/f.u.

Which structure is most stable? entry 2, by 0.277 eV/atom over the runner-up.

Entry 1
TaCo2Br: relaxed, PBE.

a b c (Å): 5.016 5.016 5.016
angles (deg): 137.29 137.29 61.99
Last column: magnetic moment on the atom in μB.
Positions (direct):
Co 0.250 0.750 0.500  0.01
Ta 0.500 0.500 0.000  -0.01
Co 0.000 0.000 0.000  0.08
Br 0.750 0.250 0.500  0.00

Values from the calculation:
crystal system	tetragonal
size of the total moment	0.09	μB/f.u.

Entry 2
TaCo2Br: relaxed, PBE.

a b c (Å): 3.115 3.115 7.464
angles (deg): 90.00 90.00 90.00
Last column: magnetic moment on the atom in μB.
Positions (direct):
Co 0.500 0.500 0.238  1.39
Ta 0.000 0.000 0.447  -0.07
Br 0.500 0.500 0.694  -0.01
Co 0.000 0.000 0.121  1.66

Values from the calculation:
crystal system	tetragonal
size of the total moment	2.96	μB/f.u.

Which structure is most stable? entry 2, by 0.395 eV/atom over the runner-up.